# 1
Compound: Zr2ZnCo
Source: Alexandria
Functional: PBEsol
Structure: optimized geometry

Cell: 4.0078 5.3149 5.3149 Å, 36.64 90.00 90.00°
Last column: nearest neighbours and their distance in Å.
Element x y z (fractional)
1 Zr 0.0000 0.0000 0.0000  4 Co 2.67, 3 Zn 2.75-2.86
2 Zr 0.5000 0.2927 0.2927  3 Co 2.67-2.90, 4 Zn 2.72
3 Zn 0.0000 0.7167 0.7167  2 Co 2.57, 7 Zr 2.72-2.86
4 Co 0.5000 0.5575 0.5575  2 Zn 2.57, 5 Zr 2.67

Results
DFT total energy ... -7.135 eV per atom
Total magnetic moment ... 0.00 μB/cell
Volume ... 68 Å³/f.u.

=====

# 2
Compound: Zr2ZnCo
Source: Alexandria
Functional: PBEsol
Structure: optimized geometry

Cell: 3.2144 3.2120 6.4201 Å, 90.00 90.07 90.00°
Last column: nearest neighbours and their distance in Å.
Element x y z (fractional)
1 Zr 0.0005 0.0000 0.2648  4 Co 2.73, 4 Zn 2.84, 1 Zr 3.02
2 Zr 0.9995 0.0000 0.7352  4 Co 2.73, 4 Zn 2.84, 1 Zr 3.02
3 Zn 0.5000 0.5000 0.0000  8 Zr 2.84
4 Co 0.5000 0.5000 0.5000  8 Zr 2.73

Results
DFT total energy ... -7.152 eV per atom
Total magnetic moment ... 0.00 μB/cell
Volume ... 66 Å³/f.u.

=====

# 3
Compound: ZrZn20Co2
Source: Alexandria
Functional: PBEsol
Structure: optimized geometry

Cell: 9.6400 9.6400 9.6400 Å, 60.00 60.00 60.00°
Last column: nearest neighbours and their distance in Å.
Element x y z (fractional)
1 Zr 0.1250 0.1250 0.1250  16 Zn 2.95-2.99
2 Zr 0.8750 0.8750 0.8750  16 Zn 2.95-2.99
3 Zn 0.0000 0.0000 0.0000  12 Zn 2.90, 2 Zr 2.95
4 Zn 0.0000 0.0000 0.5000  12 Zn 2.90, 2 Zr 2.95
5 Zn 0.0000 0.5000 0.0000  12 Zn 2.90, 2 Zr 2.95
6 Zn 0.0565 0.3242 0.3242  8 Zn 2.52-2.77, 1 Co 2.66
7 Zn 0.0565 0.3242 0.7951  8 Zn 2.52-2.77, 1 Co 2.66
8 Zn 0.0565 0.7951 0.3242  8 Zn 2.52-2.77, 1 Co 2.66
9 Zn 0.2049 0.6758 0.6758  8 Zn 2.52-2.77, 1 Co 2.66
10 Zn 0.2049 0.6758 0.9435  8 Zn 2.52-2.77, 1 Co 2.66
11 Zn 0.2049 0.9435 0.6758  8 Zn 2.52-2.77, 1 Co 2.66
12 Zn 0.2384 0.2384 0.5116  2 Co 2.42, 10 Zn 2.57-2.69
13 Zn 0.2384 0.5116 0.2384  2 Co 2.42, 10 Zn 2.57-2.69
14 Zn 0.2384 0.5116 0.5116  2 Co 2.42, 10 Zn 2.57-2.69
15 Zn 0.3242 0.0565 0.3242  8 Zn 2.52-2.77, 1 Co 2.66
16 Zn 0.3242 0.0565 0.7951  8 Zn 2.52-2.77, 1 Co 2.66
17 Zn 0.3242 0.3242 0.0565  8 Zn 2.52-2.77, 1 Co 2.66
18 Zn 0.3242 0.3242 0.7951  8 Zn 2.52-2.77, 1 Co 2.66
19 Zn 0.3242 0.7951 0.0565  8 Zn 2.52-2.77, 1 Co 2.66
20 Zn 0.3242 0.7951 0.3242  8 Zn 2.52-2.77, 1 Co 2.66
21 Zn 0.4884 0.4884 0.7616  2 Co 2.42, 10 Zn 2.57-2.69
22 Zn 0.4884 0.7616 0.4884  2 Co 2.42, 10 Zn 2.57-2.69
23 Zn 0.4884 0.7616 0.7616  2 Co 2.42, 10 Zn 2.57-2.69
24 Zn 0.5000 0.0000 0.0000  12 Zn 2.90, 2 Zr 2.95
25 Zn 0.5116 0.2384 0.2384  2 Co 2.42, 10 Zn 2.57-2.69
26 Zn 0.5116 0.2384 0.5116  2 Co 2.42, 10 Zn 2.57-2.69
27 Zn 0.5116 0.5116 0.2384  2 Co 2.42, 10 Zn 2.57-2.69
28 Zn 0.6758 0.2049 0.6758  8 Zn 2.52-2.77, 1 Co 2.66
29 Zn 0.6758 0.2049 0.9435  8 Zn 2.52-2.77, 1 Co 2.66
30 Zn 0.6758 0.6758 0.2049  8 Zn 2.52-2.77, 1 Co 2.66
31 Zn 0.6758 0.6758 0.9435  8 Zn 2.52-2.77, 1 Co 2.66
32 Zn 0.6758 0.9435 0.2049  8 Zn 2.52-2.77, 1 Co 2.66
33 Zn 0.6758 0.9435 0.6758  8 Zn 2.52-2.77, 1 Co 2.66
34 Zn 0.7616 0.4884 0.4884  2 Co 2.42, 10 Zn 2.57-2.69
35 Zn 0.7616 0.4884 0.7616  2 Co 2.42, 10 Zn 2.57-2.69
36 Zn 0.7616 0.7616 0.4884  2 Co 2.42, 10 Zn 2.57-2.69
37 Zn 0.7951 0.0565 0.3242  8 Zn 2.52-2.77, 1 Co 2.66
38 Zn 0.7951 0.3242 0.0565  8 Zn 2.52-2.77, 1 Co 2.66
39 Zn 0.7951 0.3242 0.3242  8 Zn 2.52-2.77, 1 Co 2.66
40 Zn 0.9435 0.2049 0.6758  8 Zn 2.52-2.77, 1 Co 2.66
41 Zn 0.9435 0.6758 0.2049  8 Zn 2.52-2.77, 1 Co 2.66
42 Zn 0.9435 0.6758 0.6758  8 Zn 2.52-2.77, 1 Co 2.66
43 Co 0.0000 0.5000 0.5000  12 Zn 2.42-2.66
44 Co 0.5000 0.0000 0.5000  12 Zn 2.42-2.66
45 Co 0.5000 0.5000 0.0000  12 Zn 2.42-2.66
46 Co 0.5000 0.5000 0.5000  12 Zn 2.42-2.66

Results
DFT total energy ... -2.626 eV per atom
Total magnetic moment ... 0.00 μB/cell
Volume ... 317 Å³/f.u.

=====

# 4
Compound: Zr2ZnCo
Source: Alexandria
Functional: PBEsol
Structure: optimized geometry

Cell: 4.4808 4.4808 4.4808 Å, 60.00 60.00 60.00°
Last column: nearest neighbours and their distance in Å.
Element x y z (fractional)
1 Zr 0.0000 0.0000 0.0000  4 Zr 2.74, 4 Co 2.74
2 Zr 0.2500 0.2500 0.2500  4 Zr 2.74, 4 Zn 2.74
3 Zn 0.5000 0.5000 0.5000  4 Co 2.74, 4 Zr 2.74
4 Co 0.7500 0.7500 0.7500  4 Zn 2.74, 4 Zr 2.74

Results
DFT total energy ... -6.823 eV per atom
Total magnetic moment ... 0.00 μB/cell
Volume ... 64 Å³/f.u.